The following is a PBE calculation of a relaxed structure of SmInH, from Alexandria via LeMat-Bulk.

For the electronic total energy, the calculation gives -24.8 eV for the cell shown.

The structure in CIF format:
```
data_SmInH
_cell_length_a 4.522
_cell_length_b 4.007
_cell_length_c 6.718
_cell_angle_alpha 107.41
_cell_angle_beta 90.00
_cell_angle_gamma 90.00
_symmetry_space_group_name_H-M 'P 1'
_symmetry_Int_Tables_number 1
loop_
_symmetry_equiv_pos_as_xyz
'x,y,z'
loop_
_atom_site_label
_atom_site_type_symbol
_atom_site_fract_x
_atom_site_fract_y
_atom_site_fract_z
Sm1 Sm 0.981 0.075 0.045
Sm2 Sm 0.481 0.410 0.712
In1 In 0.981 0.808 0.510
In2 In 0.481 0.677 0.247
H1 H 0.480 0.001 0.894
H2 H 0.981 0.485 0.864
```

***

The following is a PBE calculation of a relaxed structure of Sm2InH, from Alexandria via LeMat-Bulk.

For the electronic total energy, the calculation gives -16.0 eV for the cell shown.

The structure in CIF format:
```
data_Sm2InH
_cell_length_a 3.412
_cell_length_b 3.412
_cell_length_c 7.687
_cell_angle_alpha 90.00
_cell_angle_beta 90.00
_cell_angle_gamma 90.00
_symmetry_space_group_name_H-M 'P 1'
_symmetry_Int_Tables_number 1
loop_
_symmetry_equiv_pos_as_xyz
'x,y,z'
loop_
_atom_site_label
_atom_site_type_symbol
_atom_site_fract_x
_atom_site_fract_y
_atom_site_fract_z
H1 H 0.500 0.500 0.000
Sm1 Sm 0.000 0.000 0.785
Sm2 Sm 0.000 0.000 0.215
In1 In 0.500 0.500 0.500
```

***

The following is a PBE calculation of a relaxed structure of Sm5In4H, from Alexandria via LeMat-Bulk.

For the electronic total energy, the calculation gives -40.7 eV for the cell shown.

The structure in CIF format:
```
data_Sm5In4H
_cell_length_a 5.647
_cell_length_b 7.418
_cell_length_c 7.418
_cell_angle_alpha 81.67
_cell_angle_beta 67.63
_cell_angle_gamma 67.63
_symmetry_space_group_name_H-M 'P 1'
_symmetry_Int_Tables_number 1
loop_
_symmetry_equiv_pos_as_xyz
'x,y,z'
loop_
_atom_site_label
_atom_site_type_symbol
_atom_site_fract_x
_atom_site_fract_y
_atom_site_fract_z
Sm1 Sm 0.860 0.346 0.922
Sm2 Sm 0.207 0.922 0.654
Sm3 Sm 0.783 0.078 0.346
Sm4 Sm 0.129 0.654 0.078
Sm5 Sm 0.491 0.000 0.000
In1 In 0.458 0.384 0.690
In2 In 0.842 0.690 0.616
In3 In 0.148 0.310 0.384
In4 In 0.532 0.616 0.310
H1 H 0.061 0.000 0.000
```

***

The following is a PBE calculation of a relaxed structure of SmInH, from Alexandria via LeMat-Bulk.

For the electronic total energy, the calculation gives -95.4 eV for the cell shown.

The structure in CIF format:
```
data_SmInH
_cell_length_a 4.297
_cell_length_b 10.842
_cell_length_c 10.842
_cell_angle_alpha 90.00
_cell_angle_beta 90.00
_cell_angle_gamma 90.00
_symmetry_space_group_name_H-M 'P 1'
_symmetry_Int_Tables_number 1
loop_
_symmetry_equiv_pos_as_xyz
'x,y,z'
loop_
_atom_site_label
_atom_site_type_symbol
_atom_site_fract_x
_atom_site_fract_y
_atom_site_fract_z
H1 H 0.250 0.925 0.087
H2 H 0.750 0.087 0.075
H3 H 0.750 0.587 0.425
H4 H 0.250 0.425 0.413
H5 H 0.250 0.575 0.587
H6 H 0.750 0.413 0.575
H7 H 0.750 0.913 0.925
H8 H 0.250 0.075 0.913
Sm1 Sm 0.250 0.163 0.102
Sm2 Sm 0.750 0.898 0.163
Sm3 Sm 0.750 0.398 0.337
Sm4 Sm 0.250 0.663 0.398
Sm5 Sm 0.250 0.337 0.602
Sm6 Sm 0.750 0.602 0.663
Sm7 Sm 0.750 0.102 0.837
Sm8 Sm 0.250 0.837 0.898
In1 In 0.750 0.644 0.004
In2 In 0.250 0.504 0.144
In3 In 0.250 0.004 0.356
In4 In 0.750 0.144 0.496
In5 In 0.750 0.856 0.504
In6 In 0.250 0.996 0.644
In7 In 0.250 0.496 0.856
In8 In 0.750 0.356 0.996
```

***

The following is a PBE calculation of a relaxed structure of Sm3In2H, from Alexandria via LeMat-Bulk.

For the electronic total energy, the calculation gives -50.2 eV for the cell shown.

The structure in CIF format:
```
data_Sm3In2H
_cell_length_a 6.446
_cell_length_b 6.656
_cell_length_c 7.890
_cell_angle_alpha 98.41
_cell_angle_beta 114.11
_cell_angle_gamma 90.00
_symmetry_space_group_name_H-M 'P 1'
_symmetry_Int_Tables_number 1
loop_
_symmetry_equiv_pos_as_xyz
'x,y,z'
loop_
_atom_site_label
_atom_site_type_symbol
_atom_site_fract_x
_atom_site_fract_y
_atom_site_fract_z
Sm1 Sm 0.416 0.250 0.000
Sm2 Sm 0.584 0.750 0.000
Sm3 Sm 0.029 0.113 0.255
Sm4 Sm 0.773 0.387 0.745
Sm5 Sm 0.227 0.613 0.255
Sm6 Sm 0.971 0.887 0.745
In1 In 0.779 0.551 0.362
In2 In 0.583 0.051 0.362
In3 In 0.417 0.949 0.638
In4 In 0.221 0.449 0.638
H1 H 0.941 0.750 0.000
H2 H 0.059 0.250 0.000
```

***

The following is a PBE calculation of a relaxed structure of In2SnH2, from Alexandria via LeMat-Bulk.

For the electronic total energy, the calculation gives -15.8 eV for the cell shown.

The structure in CIF format:
```
data_In2SnH2
_cell_length_a 5.099
_cell_length_b 5.193
_cell_length_c 5.156
_cell_angle_alpha 60.27
_cell_angle_beta 60.37
_cell_angle_gamma 60.60
_symmetry_space_group_name_H-M 'P 1'
_symmetry_Int_Tables_number 1
loop_
_symmetry_equiv_pos_as_xyz
'x,y,z'
loop_
_atom_site_label
_atom_site_type_symbol
_atom_site_fract_x
_atom_site_fract_y
_atom_site_fract_z
In1 In 0.246 0.256 0.251
In2 In 0.754 0.744 0.749
Sn1 Sn 0.000 0.000 0.000
H1 H 0.514 0.415 0.557
H2 H 0.486 0.585 0.443
```

***

The following is a PBE calculation of a relaxed structure of InSn3H, from Alexandria via LeMat-Bulk.

For the electronic total energy, the calculation gives -16.9 eV for the cell shown.

The structure in CIF format:
```
data_InSn3H
_cell_length_a 4.845
_cell_length_b 4.845
_cell_length_c 4.845
_cell_angle_alpha 90.00
_cell_angle_beta 90.00
_cell_angle_gamma 90.00
_symmetry_space_group_name_H-M 'P 1'
_symmetry_Int_Tables_number 1
loop_
_symmetry_equiv_pos_as_xyz
'x,y,z'
loop_
_atom_site_label
_atom_site_type_symbol
_atom_site_fract_x
_atom_site_fract_y
_atom_site_fract_z
H1 H 0.000 0.000 0.000
Sn1 Sn 0.000 0.500 0.000
Sn2 Sn 0.000 0.000 0.500
Sn3 Sn 0.500 0.000 0.000
In1 In 0.500 0.500 0.500
```

***

The following is a PBE calculation of a relaxed structure of In2Sn2H, from Alexandria via LeMat-Bulk.

For the electronic total energy, the calculation gives -31.9 eV for the cell shown.

The structure in CIF format:
```
data_In2Sn2H
_cell_length_a 6.232
_cell_length_b 6.232
_cell_length_c 5.959
_cell_angle_alpha 90.00
_cell_angle_beta 90.00
_cell_angle_gamma 90.00
_symmetry_space_group_name_H-M 'P 1'
_symmetry_Int_Tables_number 1
loop_
_symmetry_equiv_pos_as_xyz
'x,y,z'
loop_
_atom_site_label
_atom_site_type_symbol
_atom_site_fract_x
_atom_site_fract_y
_atom_site_fract_z
H1 H 0.000 0.000 0.000
H2 H 0.500 0.500 0.000
Sn1 Sn 0.260 0.760 0.500
Sn2 Sn 0.760 0.740 0.500
Sn3 Sn 0.740 0.240 0.500
Sn4 Sn 0.240 0.260 0.500
In1 In 0.326 0.826 0.000
In2 In 0.826 0.674 0.000
In3 In 0.674 0.174 0.000
In4 In 0.174 0.326 0.000
```